#a
## Rb2LiPt (PBE)

Data for a relaxed Rb2LiPt crystal.

abc: 4.9378 4.9378 11.8136
angles: 77.94 77.94 90.00
Fractional coordinates of all 8 atoms:
Rb 0.6369 0.1250 0.2500
Rb 0.1131 0.6250 0.2500
Rb 0.3750 0.3631 0.7500
Rb 0.8750 0.8869 0.7500
Pt 0.0000 0.0000 0.0000
Pt 0.7500 0.2500 0.5000
Li 0.5000 0.5000 0.0000
Li 0.2500 0.7500 0.5000

Calculated values
M_tot: 0.0 Bohr magnetons per cell
Space group: No. 122


#b
## Rb2LiPt (PBE)

Data for a relaxed Rb2LiPt crystal.

abc: 5.7544 5.7544 5.7544
angles: 60.00 60.00 60.00
Last column: magnetic moment on the atom in μB.
Fractional coordinates of all 4 atoms:
Rb 0.2500 0.2500 0.2500  0.03
Rb 0.7500 0.7500 0.7500  0.03
Pt 0.5000 0.5000 0.5000  0.01
Li 0.0000 0.0000 0.0000  0.08

Calculated values
M_tot: 0.8 Bohr magnetons per cell
Space group: No. 225


Which structure is most stable? #b, by 0.171 eV/atom over the runner-up.


#a
## RbLiPt3 (PBE)

Data for a relaxed RbLiPt3 crystal.

abc: 4.5797 4.5797 4.5797
angles: 90.00 90.00 90.00
Fractional coordinates of all 5 atoms:
Rb 0.5000 0.5000 0.5000
Pt 0.0000 0.5000 0.0000
Pt 0.0000 0.0000 0.5000
Pt 0.5000 0.0000 0.0000
Li 0.0000 0.0000 0.0000

Calculated values
M_tot: 0.0 Bohr magnetons per cell
Space group: No. 221


#b
## RbLiPt3 (PBE)

Data for a relaxed RbLiPt3 crystal.

abc: 5.1844 5.1844 5.1844
angles: 90.00 90.00 90.00
Fractional coordinates of all 5 atoms:
Rb 0.0000 0.0000 0.0000
Pt 0.0000 0.5000 0.0000
Pt 0.0000 0.0000 0.5000
Pt 0.5000 0.0000 0.0000
Li 0.5000 0.5000 0.5000

Calculated values
M_tot: 0.0 Bohr magnetons per cell
Space group: No. 221


Which structure is most stable? #a, by 1.273 eV/atom over the runner-up.


#a
## RbSr2LiPt (PBE)

Data for a relaxed RbSr2LiPt crystal.

abc: 6.0098 6.0098 5.5669
angles: 90.00 90.00 90.00
Fractional coordinates of all 5 atoms:
Sr 0.0000 0.5000 0.0000
Sr 0.5000 0.0000 0.0000
Rb 0.5000 0.5000 0.5000
Pt 0.0000 0.0000 0.0000
Li 0.0000 0.0000 0.5000

Calculated values
M_tot: 0.0 Bohr magnetons per cell
Space group: No. 123


#b
## RbSr2LiPt (PBE)

Data for a relaxed RbSr2LiPt crystal.

abc: 5.9200 5.9200 6.5644
angles: 90.00 90.00 90.00
Fractional coordinates of all 5 atoms:
Sr 0.0000 0.5000 0.0000
Sr 0.5000 0.0000 0.0000
Rb 0.0000 0.0000 0.5000
Pt 0.0000 0.0000 0.0000
Li 0.5000 0.5000 0.5000

Calculated values
M_tot: 0.0 Bohr magnetons per cell
Space group: No. 123


Which structure is most stable? #a, by 0.075 eV/atom over the runner-up.


#a
## LiRePt2 (PBE)

Data for a relaxed LiRePt2 crystal.

abc: 4.3349 4.3349 4.3349
angles: 60.00 60.00 60.00
Fractional coordinates of all 4 atoms:
Li 0.5000 0.5000 0.5000
Pt 0.0000 0.0000 0.0000
Pt 0.7500 0.7500 0.7500
Re 0.2500 0.2500 0.2500

Calculated values
M_tot: 0.0 Bohr magnetons per cell
Space group: No. 216


#b
## LiRePt2 (PBE)

Data for a relaxed LiRePt2 crystal.

abc: 4.6592 4.6592 4.9226
angles: 82.92 82.92 33.69
Fractional coordinates of all 4 atoms:
Li 0.2500 0.2500 0.2500
Pt 0.0029 0.0029 0.9975
Pt 0.4971 0.4971 0.5025
Re 0.7500 0.7500 0.7500

Calculated values
M_tot: 0.0 Bohr magnetons per cell
Space group: No. 12


Which structure is most stable? #b, by 0.101 eV/atom over the runner-up.


#a
## LiRePt2 (PBE)

Data for a relaxed LiRePt2 crystal.

abc: 4.7076 4.7076 2.6928
angles: 90.00 90.00 90.00
Fractional coordinates of all 4 atoms:
Li 0.0000 0.5000 0.5000
Pt 0.0000 0.0000 0.0000
Pt 0.5000 0.5000 0.0000
Re 0.5000 0.0000 0.5000

Calculated values
M_tot: 0.0 Bohr magnetons per cell
Space group: No. 123


#b
## LiRePt2 (PBE)

Data for a relaxed LiRePt2 crystal.

abc: 3.8935 3.8935 8.8725
angles: 77.33 77.33 90.00
Fractional coordinates of all 8 atoms:
Re 0.0000 0.0000 0.0000
Re 0.7500 0.2500 0.5000
Pt 0.6195 0.1250 0.2500
Pt 0.1305 0.6250 0.2500
Pt 0.3750 0.3805 0.7500
Pt 0.8750 0.8695 0.7500
Li 0.5000 0.5000 0.0000
Li 0.2500 0.7500 0.5000

Calculated values
M_tot: 0.0 Bohr magnetons per cell
Space group: No. 122


Which structure is most stable? #a, by 0.608 eV/atom over the runner-up.


#a
## LiRePt2 (PBE)

Data for a relaxed LiRePt2 crystal.

abc: 4.6725 4.6725 4.6725
angles: 130.37 130.38 72.81
Last column: magnetic moment on the atom in μB.
Fractional coordinates of all 4 atoms:
Li 0.2500 0.7500 0.5000  0.00
Pt 0.0000 0.0000 0.0000  0.12
Pt 0.5000 0.5000 0.0000  0.12
Re 0.7500 0.2500 0.5000  1.11

Calculated values
M_tot: 1.5 Bohr magnetons per cell
Space group: No. 139


#b
## LiRePt2 (PBE)

Data for a relaxed LiRePt2 crystal.

abc: 4.7725 4.7725 4.7725
angles: 132.80 132.80 68.96
Fractional coordinates of all 4 atoms:
Li 0.7500 0.2500 0.5000
Pt 0.0000 0.0000 0.0000
Pt 0.2500 0.7500 0.5000
Re 0.5000 0.5000 0.0000

Calculated values
M_tot: 0.0 Bohr magnetons per cell
Space group: No. 119


#c
## LiRePt2 (PBE)

Data for a relaxed LiRePt2 crystal.

abc: 2.6982 4.1344 5.3422
angles: 90.00 90.00 90.00
Fractional coordinates of all 4 atoms:
Li 0.5000 0.5000 0.7822
Pt 0.0000 0.0000 0.9522
Pt 0.5000 0.5000 0.2905
Re 0.0000 0.0000 0.4751

Calculated values
M_tot: 0.0 Bohr magnetons per cell
Space group: No. 25


#d
## LiRePt2 (PBE)

Data for a relaxed LiRePt2 crystal.

abc: 2.7699 2.7699 7.5283
angles: 90.00 90.00 90.00
Fractional coordinates of all 4 atoms:
Li 0.5000 0.5000 0.7500
Pt 0.0000 0.0000 0.9968
Pt 0.0000 0.0000 0.5032
Re 0.5000 0.5000 0.2500

Calculated values
M_tot: 0.0 Bohr magnetons per cell
Space group: No. 123


Which structure is most stable? #d, by 0.166 eV/atom over the runner-up.